B3IrO (PBE-GGA, relaxed); crystal system = cubic; DOS at the Fermi energy = 0.40 states/eV/atom; ΔE to the lowest computed polymorph = 0.020 eV/atom; total DFT energy (no corrections) = -5.6205 eV/atom; SG = Pm-3m (221); formation energy without anion corrections = 1.150 eV/atom; calculated volume = 41.75 Å³/cell
1.0
3.469 0.000 0.000
0.000 3.469 0.000
0.000 0.000 3.469
B Ir O
3 1 1
Direct
0.000 0.000 0.500
0.000 0.500 0.000
0.500 0.000 0.000
0.500 0.500 0.500
0.000 0.000 0.000

=====

B2IrO (PBE-GGA, relaxed); crystal system = tetragonal; DOS at the Fermi energy = 0.37 states/eV/atom; total DFT energy (no corrections) = -6.9313 eV/atom; SG = I-42d (122); formation energy without anion corrections = -0.138 eV/atom; calculated volume = 151.16 Å³/cell
1.0
4.668 0.000 0.000
0.000 4.668 0.000
0.000 0.000 6.936
B Ir O
8 4 4
Direct
0.177 0.250 0.125
0.250 0.677 0.375
0.250 0.823 0.875
0.323 0.250 0.625
0.677 0.750 0.625
0.750 0.177 0.875
0.750 0.323 0.375
0.823 0.750 0.125
0.000 0.000 0.500
0.000 0.500 0.750
0.500 0.000 0.250
0.500 0.500 0.000
0.000 0.000 0.000
0.000 0.500 0.250
0.500 0.000 0.750
0.500 0.500 0.500

=====

Question: Look up the total DFT energy (no corrections) of the first one.
Answer: -5.6205 eV/atom

=====

What did the first record say?
B3IrO (PBE-GGA, relaxed); crystal system = cubic; DOS at the Fermi energy = 0.40 states/eV/atom; ΔE to the lowest computed polymorph = 0.020 eV/atom; total DFT energy (no corrections) = -5.6205 eV/atom; SG = Pm-3m (221); formation energy without anion corrections = 1.150 eV/atom; calculated volume = 41.75 Å³/cell
1.0
3.469 0.000 0.000
0.000 3.469 0.000
0.000 0.000 3.469
B Ir O
3 1 1
Direct
0.000 0.000 0.500
0.000 0.500 0.000
0.500 0.000 0.000
0.500 0.500 0.500
0.000 0.000 0.000